Entry from the Alexandria database: a relaxed Ba3CeFe2O8 crystal (GGA+U).

```
data_Ba3CeFe2O8
_symmetry_space_group_name_H-M 'P -3 m 1'
_symmetry_Int_Tables_number 164
_symmetry_space_group_name_Hall '-P 3 2"'
_cell_length_a 6.0799
_cell_length_b 6.0799
_cell_length_c 7.6719
_cell_angle_alpha 90.00
_cell_angle_beta 90.00
_cell_angle_gamma 120.00
loop_
_atom_site_label
_atom_site_fract_x
_atom_site_fract_y
_atom_site_fract_z
Ba1 0.0000 0.0000 0.0000
Ba2 0.3333 0.6667 0.6602
Ce1 0.0000 0.0000 0.5000
Fe1 0.3333 0.6667 0.2118
O1 0.1683 0.3366 0.3206
O2 0.3333 0.6667 0.9763
```

## Properties
The calculation puts the final energy at -6.88 eV per atom. For the magnetization, the calculation gives 10.00 μB/f.u.